Record 1
A plane-wave DFT calculation with PBE-GGA was carried out for an optimized crystal structure of TiSb2Mo.

Unit cell a=4.7527 b=4.7527 c=4.7527 alpha=60.00 beta=60.00 gamma=60.00
Fractional coordinates of all 4 atoms:
Mo: 0.5000 0.5000 0.5000
Sb: 0.2500 0.2500 0.2500
Sb: 0.7500 0.7500 0.7500
Ti: 0.0000 0.0000 0.0000

Results
space-group type	No. 225
calculated volume	18.98	A^3/atom
energy relative to the lowest polymorph listed for this composition	0	meV/atom
total magnetic moment	0.00	μB/cell
Fermi-level density of states	1.077	states/eV per atom
uncorrected energy	-6.7685	eV per atom
ΔE_f (raw)	-0.026	eV per atom

=====

Record 2
A plane-wave DFT calculation with PBE-GGA was carried out for an optimized crystal structure of Y3HgS.

Unit cell a=5.1624 b=5.1624 c=5.1624 alpha=90.00 beta=90.00 gamma=90.00
Fractional coordinates of all 5 atoms:
S: 0.0000 0.0000 0.0000
Y: 0.5000 0.0000 0.0000
Y: 0.0000 0.5000 0.0000
Y: 0.0000 0.0000 0.5000
Hg: 0.5000 0.5000 0.5000

Results
space-group type	No. 221
calculated volume	27.52	A^3/atom
energy relative to the lowest polymorph listed for this composition	203	meV/atom
total magnetic moment	0.00	μB/cell
Fermi-level density of states	0.434	states/eV per atom
uncorrected energy	-5.5982	eV per atom
ΔE_f (raw)	-0.834	eV per atom

=====

Record 3
A plane-wave DFT calculation with PBE-GGA was carried out for an optimized crystal structure of Dy2TlPtO5.

Unit cell a=5.8558 b=6.6356 c=6.6356 alpha=90.00 beta=90.00 gamma=90.00
Last column: magnetic moment on the atom in μB.
Fractional coordinates of all 18 atoms:
O: 0.5000 0.5000 0.5000  0.20
O: 0.7320 0.3666 0.1334  0.08
O: 0.2680 0.1334 0.6334  0.08
O: 0.7320 0.8666 0.3666  0.08
O: 0.2680 0.8666 0.3666  0.08
O: 0.2680 0.6334 0.8666  0.08
O: 0.7320 0.6334 0.8666  0.08
O: 0.7320 0.1334 0.6334  0.08
O: 0.5000 0.0000 0.0000  0.20
O: 0.2680 0.3666 0.1334  0.08
Dy: 0.5000 0.3251 0.8251  -0.01
Dy: 0.5000 0.6749 0.1749  -0.01
Dy: 0.5000 0.8251 0.6749  -0.01
Dy: 0.5000 0.1749 0.3251  -0.01
Pt: 0.0000 0.0000 0.5000  0.34
Pt: 0.0000 0.5000 0.0000  0.34
Tl: 0.0000 0.5000 0.5000  0.03
Tl: 0.0000 0.0000 0.0000  0.03

Results
space-group type	No. 127
calculated volume	14.32	A^3/atom
total magnetic moment	1.90	μB/cell
Fermi-level density of states	0.543	states/eV per atom
uncorrected energy	-6.8363	eV per atom
ΔE_f (raw)	-2.125	eV per atom